No. 1
First-principles (GGA-PBE) data for a geometry-optimized Nd2Zn4PtAu3 structure, as listed in Alexandria via LeMat-Bulk.

Values from the calculation:
Crystal system: tetragonal
E_tot (eV/atom): -3.610

Cell and atoms, written as CIF:
```
data_Nd2Zn4PtAu3
_chemical_formula_sum 'Nd2 Zn4 Pt1 Au3'
_cell_length_a 4.334
_cell_length_b 4.334
_cell_length_c 10.851
_cell_angle_alpha 90.00
_cell_angle_beta 90.00
_cell_angle_gamma 90.00
_symmetry_space_group_name_H-M 'P 1'
_symmetry_Int_Tables_number 1
loop_
_symmetry_equiv_pos_as_xyz
'x,y,z'
loop_
_atom_site_label
_atom_site_type_symbol
_atom_site_fract_x
_atom_site_fract_y
_atom_site_fract_z
Zn1 Zn 0.500 0.000 0.628
Zn2 Zn 0.000 0.000 0.000
Zn3 Zn 0.500 0.500 0.000
Zn4 Zn 0.000 0.500 0.372
Au1 Au 0.500 0.000 0.861
Au2 Au 0.000 0.500 0.139
Au3 Au 0.000 0.000 0.500
Pt1 Pt 0.500 0.500 0.500
Nd1 Nd 0.500 0.000 0.263
Nd2 Nd 0.000 0.500 0.737
```



No. 2
First-principles (GGA-PBE) data for a geometry-optimized LiLuMgRh structure, as listed in Alexandria via LeMat-Bulk.

Values from the calculation:
Crystal system: cubic
E_tot (eV/atom): -4.317

Cell and atoms, written as CIF:
```
data_LiLuMgRh
_chemical_formula_sum 'Li1 Lu1 Mg1 Rh1'
_cell_length_a 4.694
_cell_length_b 4.694
_cell_length_c 4.694
_cell_angle_alpha 60.00
_cell_angle_beta 60.00
_cell_angle_gamma 60.00
_symmetry_space_group_name_H-M 'P 1'
_symmetry_Int_Tables_number 1
loop_
_symmetry_equiv_pos_as_xyz
'x,y,z'
loop_
_atom_site_label
_atom_site_type_symbol
_atom_site_fract_x
_atom_site_fract_y
_atom_site_fract_z
Li1 Li 0.500 0.500 0.500
Mg1 Mg 0.750 0.750 0.750
Lu1 Lu 0.250 0.250 0.250
Rh1 Rh 0.000 0.000 0.000
```